(1)
The following is a DFT calculation (PBE) of a geometry-optimized Er2Ti structure.

Cell lengths 3.342, 3.342, 7.315 Å; angles 103.20, 103.20, 90.00 degrees
Fractional positions:
Ti: 0.000 0.000 0.000
Er: 0.651 0.651 0.301
Er: 0.349 0.349 0.699

* calculated formation energy: 178.0 meV/atom
* total energy: -16.49 eV for the cell shown

---

(2)
The following is a DFT calculation (PBE) of a geometry-optimized ErTi2 structure.

Cell lengths 5.776, 5.776, 5.776 Å; angles 60.00, 60.00, 60.00 degrees
Last column: magnetic moment on the atom in μB.
Fractional positions:
Ti: 0.125 0.625 0.625  1.34
Ti: 0.625 0.125 0.625  1.34
Ti: 0.625 0.625 0.625  1.34
Ti: 0.625 0.625 0.125  1.34
Er: 0.000 0.000 0.000  0.76
Er: 0.250 0.250 0.250  0.76

* calculated formation energy: 229.2 meV/atom
* total energy: -39.33 eV for the cell shown

---

(3)
The following is a DFT calculation (PBE) of a geometry-optimized ErTi2 structure.

Cell lengths 3.511, 3.511, 5.857 Å; angles 107.44, 107.44, 90.00 degrees
Last column: magnetic moment on the atom in μB.
Fractional positions:
Ti: 0.697 0.697 0.394  0.72
Ti: 0.303 0.303 0.606  0.72
Er: 0.000 0.000 0.000  0.09

* calculated formation energy: 168.6 meV/atom
* total energy: -19.85 eV for the cell shown

---

(4)
The following is a DFT calculation (PBE) of a geometry-optimized Er3Ti structure.

Cell lengths 4.765, 4.765, 5.805 Å; angles 114.23, 114.23, 90.00 degrees
Last column: magnetic moment on the atom in μB.
Fractional positions:
Ti: 0.000 0.000 0.000  0.80
Er: 0.750 0.250 0.500  0.00
Er: 0.250 0.750 0.500  0.00
Er: 0.500 0.500 0.000  -0.04

* calculated formation energy: 191.5 meV/atom
* total energy: -20.82 eV for the cell shown

---

(5)
The following is a DFT calculation (PBE) of a geometry-optimized Er3Ti structure.

Cell lengths 3.432, 5.901, 6.344 Å; angles 117.71, 105.69, 90.00 degrees
Last column: magnetic moment on the atom in μB.
Fractional positions:
Ti: 0.000 0.005 0.000  0.55
Er: 0.267 0.609 0.534  0.01
Er: 0.500 0.477 0.000  0.13
Er: 0.733 0.075 0.466  0.01

* calculated formation energy: 164.5 meV/atom
* total energy: -20.93 eV for the cell shown

---

(6)
The following is a DFT calculation (PBE) of a geometry-optimized Er3Ti structure.

Cell lengths 4.752, 4.752, 4.752 Å; angles 90.00, 90.00, 90.00 degrees
Last column: magnetic moment on the atom in μB.
Fractional positions:
Ti: 0.000 0.000 0.000  0.72
Er: 0.000 0.500 0.500  0.01
Er: 0.500 0.000 0.500  0.01
Er: 0.500 0.500 0.000  0.01

* calculated formation energy: 191.7 meV/atom
* total energy: -20.82 eV for the cell shown

---

Which value of calculated formation energy does entry 6 give?
191.7 meV/atom

---

calculated formation energy of number 5 (Er3Ti)?
164.5 meV/atom

---

calculated formation energy of number 5 (Er3Ti)?
164.5 meV/atom